# 1
Below is an optimized crystal structure of CaFe2Sb, with properties calculated at the PBE level.

Cell and atoms, written as CIF:
```
data_CaFe2Sb
_chemical_formula_sum 'Ca4 Fe8 Sb4'
_space_group_name_H-M_alt 'I -4 2 d'
_space_group_IT_number 122
_space_group_name_Hall 'I -4 2bw'
_cell_length_a 7.7129
_cell_length_b 7.7129
_cell_length_c 5.8721
_cell_angle_alpha 90.00
_cell_angle_beta 90.00
_cell_angle_gamma 90.00
loop_
_atom_site_label
_atom_site_type_symbol
_atom_site_fract_x
_atom_site_fract_y
_atom_site_fract_z
_atom_site_occupancy
Ca1 Ca 0.0000 0.0000 0.0000 1
Fe1 Fe 0.2065 0.2500 0.6250 1
Sb1 Sb 0.0000 0.0000 0.5000 1
```

Summary:
Raw formation energy (eV/atom): 0.522
Calculated total energy (eV per atom): -5.24

---

# 2
Below is an optimized crystal structure of Zr2NiRh, with properties calculated at the PBE level.

Cell and atoms, written as CIF:
```
data_Zr2NiRh
_chemical_formula_sum 'Zr2 Ni1 Rh1'
_space_group_name_H-M_alt 'P 4 m m'
_space_group_IT_number 99
_cell_length_a 3.4120
_cell_length_b 3.4120
_cell_length_c 6.0977
_cell_angle_alpha 90.00
_cell_angle_beta 90.00
_cell_angle_gamma 90.00
loop_
_space_group_symop_operation_xyz
'x,y,z'
'-y,x,z'
'-x,-y,z'
'y,-x,z'
'-x,y,z'
'y,x,z'
'x,-y,z'
'-y,-x,z'
loop_
_atom_site_label
_atom_site_type_symbol
_atom_site_fract_x
_atom_site_fract_y
_atom_site_fract_z
_atom_site_occupancy
Zr1 Zr 0.0000 0.0000 0.0000 1
Zr2 Zr 0.5000 0.5000 0.3440 1
Ni1 Ni 0.0000 0.0000 0.5285 1
Rh1 Rh 0.5000 0.5000 0.7956 1
```

Summary:
Formation enthalpy at 0 K (eV per formula unit): -1.6
Calculated total energy (eV per atom): -7.95

---

# 3
Below is an optimized crystal structure of SmDy12Th7, with properties calculated at the PBE level.

Cell and atoms, written as CIF:
```
data_SmDy12Th7
_chemical_formula_sum 'Sm2 Dy24 Th14'
_space_group_name_H-M_alt 'I m -3 m'
_space_group_IT_number 229
_space_group_name_Hall '-I 4 2 3'
_cell_length_a 11.5371
_cell_length_b 11.5371
_cell_length_c 11.5371
_cell_angle_alpha 90.00
_cell_angle_beta 90.00
_cell_angle_gamma 90.00
loop_
_atom_site_label
_atom_site_type_symbol
_atom_site_fract_x
_atom_site_fract_y
_atom_site_fract_z
_atom_site_occupancy
Sm1 Sm 0.0000 0.0000 0.0000 1
Dy1 Dy 0.0000 0.2571 0.2571 1
Th1 Th 0.0000 0.0000 0.5000 1
Th2 Th 0.2500 0.2500 0.2500 1
```

Summary:
Formation enthalpy at 0 K (eV per formula unit): 18.9
Calculated total energy (eV per atom): -4.65

---

# 4
Below is an optimized crystal structure of Pr3BeSi3, with properties calculated at the PBE level.

Cell and atoms, written as CIF:
```
data_Pr3BeSi3
_chemical_formula_sum 'Pr6 Be2 Si6'
_space_group_name_H-M_alt 'I m m 2'
_space_group_IT_number 44
_cell_length_a 3.9576
_cell_length_b 4.3917
_cell_length_c 18.0946
_cell_angle_alpha 90.00
_cell_angle_beta 90.00
_cell_angle_gamma 90.00
loop_
_space_group_symop_operation_xyz
'x,y,z'
'-x,-y,z'
'-x,y,z'
'x,-y,z'
'x+1/2,y+1/2,z+1/2'
'-x+1/2,-y+1/2,z+1/2'
'-x+1/2,y+1/2,z+1/2'
'x+1/2,-y+1/2,z+1/2'
loop_
_atom_site_label
_atom_site_type_symbol
_atom_site_fract_x
_atom_site_fract_y
_atom_site_fract_z
_atom_site_occupancy
Pr1 Pr 0.0000 0.0000 0.0000 1
Pr2 Pr 0.0000 0.0000 0.3673 1
Pr3 Pr 0.0000 0.5000 0.6833 1
Be1 Be 0.0000 0.5000 0.1167 1
Si1 Si 0.0000 0.0000 0.5530 1
Si2 Si 0.0000 0.0000 0.8205 1
Si3 Si 0.0000 0.5000 0.2408 1
```

Summary:
Raw formation energy (eV/atom): -0.655
Calculated total energy (eV per atom): -5.56

---

# 5
Below is an optimized crystal structure of CrSi2Ir, with properties calculated at the PBE level.

Cell and atoms, written as CIF:
```
data_CrSi2Ir
_chemical_formula_sum 'Cr4 Si8 Ir4'
_space_group_name_H-M_alt 'I -4 2 d'
_space_group_IT_number 122
_space_group_name_Hall 'I -4 2bw'
_cell_length_a 6.4509
_cell_length_b 6.4509
_cell_length_c 5.6544
_cell_angle_alpha 90.00
_cell_angle_beta 90.00
_cell_angle_gamma 90.00
loop_
_atom_site_label
_atom_site_type_symbol
_atom_site_fract_x
_atom_site_fract_y
_atom_site_fract_z
_atom_site_occupancy
Cr1 Cr 0.0000 0.0000 0.0000 1
Si1 Si 0.2414 0.2500 0.6250 1
Ir1 Ir 0.0000 0.0000 0.5000 1
```

Summary:
Raw formation energy (eV/atom): 0.313
Calculated total energy (eV per atom): -7.02

---

# 6
Below is an optimized crystal structure of Pa2Ni9Rh, with properties calculated at the PBE level.

Cell and atoms, written as CIF:
```
data_Pa2Ni9Rh
_chemical_formula_sum 'Pa6 Ni27 Rh3'
_space_group_name_H-M_alt 'R -3 m'
_space_group_IT_number 166
_space_group_name_Hall '-R 3 2"'
_cell_length_a 4.9322
_cell_length_b 4.9322
_cell_length_c 23.5445
_cell_angle_alpha 90.00
_cell_angle_beta 90.00
_cell_angle_gamma 120.00
loop_
_atom_site_label
_atom_site_type_symbol
_atom_site_fract_x
_atom_site_fract_y
_atom_site_fract_z
_atom_site_occupancy
Pa1 Pa 0.0000 0.0000 0.1243 1
Ni1 Ni 0.0000 0.0000 0.3335 1
Ni2 Ni 0.0000 0.0000 0.5000 1
Ni3 Ni 0.0039 0.5020 0.9167 1
Rh1 Rh 0.0000 0.0000 0.0000 1
```

Summary:
Energy above the lowest structure with this stoichiometry (meV per atom): 0
Formation enthalpy at 0 K (eV per formula unit): -2.8
Calculated total energy (eV per atom): -6.76

---

# 7
Below is an optimized crystal structure of CaZn2SiRh, with properties calculated at the PBE level.

Cell and atoms, written as CIF:
```
data_CaZn2SiRh
_chemical_formula_sum 'Ca2 Zn4 Si2 Rh2'
_space_group_name_H-M_alt 'I m m 2'
_space_group_IT_number 44
_cell_length_a 3.8606
_cell_length_b 4.1774
_cell_length_c 11.0020
_cell_angle_alpha 90.00
_cell_angle_beta 90.00
_cell_angle_gamma 90.00
loop_
_space_group_symop_operation_xyz
'x,y,z'
'-x,-y,z'
'-x,y,z'
'x,-y,z'
'x+1/2,y+1/2,z+1/2'
'-x+1/2,-y+1/2,z+1/2'
'-x+1/2,y+1/2,z+1/2'
'x+1/2,-y+1/2,z+1/2'
loop_
_atom_site_label
_atom_site_type_symbol
_atom_site_fract_x
_atom_site_fract_y
_atom_site_fract_z
_atom_site_occupancy
Ca1 Ca 0.0000 0.0000 0.0000 1
Zn1 Zn 0.0000 0.0000 0.6121 1
Zn2 Zn 0.0000 0.5000 0.2616 1
Si1 Si 0.0000 0.0000 0.3864 1
Rh1 Rh 0.0000 0.5000 0.7598 1
```

Summary:
Raw formation energy (eV/atom): -0.462
Calculated total energy (eV per atom): -3.93

---

# 8
Below is an optimized crystal structure of AcTmNi2P2, with properties calculated at the PBE level.

Cell and atoms, written as CIF:
```
data_AcTmNi2P2
_chemical_formula_sum 'Ac1 Tm1 Ni2 P2'
_space_group_name_H-M_alt 'P -3 m 1'
_space_group_IT_number 164
_space_group_name_Hall '-P 3 2"'
_cell_length_a 3.9741
_cell_length_b 3.9741
_cell_length_c 8.0964
_cell_angle_alpha 90.00
_cell_angle_beta 90.00
_cell_angle_gamma 120.00
loop_
_atom_site_label
_atom_site_type_symbol
_atom_site_fract_x
_atom_site_fract_y
_atom_site_fract_z
_atom_site_occupancy
Ac1 Ac 0.0000 0.0000 0.0000 1
Tm1 Tm 0.0000 0.0000 0.5000 1
Ni1 Ni 0.3333 0.6667 0.7288 1
P1 P 0.3333 0.6667 0.2772 1
```

Summary:
Formation enthalpy at 0 K (eV per formula unit): -6.8
Calculated total energy (eV per atom): -6.29

---

# 9
Below is an optimized crystal structure of Nd3Ge3Pt, with properties calculated at the PBE level.

Cell and atoms, written as CIF:
```
data_Nd3Ge3Pt
_chemical_formula_sum 'Nd12 Ge12 Pt4'
_space_group_name_H-M_alt 'C 1 2/m 1'
_space_group_IT_number 12
_cell_length_a 10.9547
_cell_length_b 4.4467
_cell_length_c 14.4787
_cell_angle_alpha 90.00
_cell_angle_beta 110.48
_cell_angle_gamma 90.00
loop_
_space_group_symop_operation_xyz
'x,y,z'
'-x,-y,-z'
'-x,y,-z'
'x,-y,z'
'x+1/2,y+1/2,z'
'-x+1/2,-y+1/2,-z'
'-x+1/2,y+1/2,-z'
'x+1/2,-y+1/2,z'
loop_
_atom_site_label
_atom_site_type_symbol
_atom_site_fract_x
_atom_site_fract_y
_atom_site_fract_z
_atom_site_occupancy
Nd1 Nd 0.0367 0.0000 0.3806 1
Nd2 Nd 0.1015 0.0000 0.9237 1
Nd3 Nd 0.2469 0.0000 0.2295 1
Ge1 Ge 0.0378 0.5000 0.2301 1
Ge2 Ge 0.1166 0.5000 0.0746 1
Ge3 Ge 0.1386 0.5000 0.5372 1
Pt1 Pt 0.2466 0.0000 0.6123 1
```

Summary:
Formation enthalpy at 0 K (eV per formula unit): -6.6
Calculated total energy (eV per atom): -5.83

---

# 10
Below is an optimized crystal structure of SrAl2Sb2, with properties calculated at the PBE level.

Cell and atoms, written as CIF:
```
data_SrAl2Sb2
_chemical_formula_sum 'Sr2 Al4 Sb4'
_space_group_name_H-M_alt 'I 4/m m m'
_space_group_IT_number 139
_space_group_name_Hall '-I 4 2'
_cell_length_a 5.3213
_cell_length_b 5.3213
_cell_length_c 9.6242
_cell_angle_alpha 90.00
_cell_angle_beta 90.00
_cell_angle_gamma 90.00
loop_
_atom_site_label
_atom_site_type_symbol
_atom_site_fract_x
_atom_site_fract_y
_atom_site_fract_z
_atom_site_occupancy
Sr1 Sr 0.0000 0.0000 0.0000 1
Al1 Al 0.0000 0.0000 0.3638 1
Sb1 Sb 0.0000 0.5000 0.2500 1
```

Summary:
Raw formation energy (eV/atom): -0.341
Calculated total energy (eV per atom): -3.82

---

Please write out number 2 again, unchanged.
Below is an optimized crystal structure of Zr2NiRh, with properties calculated at the PBE level.

Cell and atoms, written as CIF:
```
data_Zr2NiRh
_chemical_formula_sum 'Zr2 Ni1 Rh1'
_space_group_name_H-M_alt 'P 4 m m'
_space_group_IT_number 99
_cell_length_a 3.4120
_cell_length_b 3.4120
_cell_length_c 6.0977
_cell_angle_alpha 90.00
_cell_angle_beta 90.00
_cell_angle_gamma 90.00
loop_
_space_group_symop_operation_xyz
'x,y,z'
'-y,x,z'
'-x,-y,z'
'y,-x,z'
'-x,y,z'
'y,x,z'
'x,-y,z'
'-y,-x,z'
loop_
_atom_site_label
_atom_site_type_symbol
_atom_site_fract_x
_atom_site_fract_y
_atom_site_fract_z
_atom_site_occupancy
Zr1 Zr 0.0000 0.0000 0.0000 1
Zr2 Zr 0.5000 0.5000 0.3440 1
Ni1 Ni 0.0000 0.0000 0.5285 1
Rh1 Rh 0.5000 0.5000 0.7956 1
```

Summary:
Formation enthalpy at 0 K (eV per formula unit): -1.6
Calculated total energy (eV per atom): -7.95